(1)
Material: ZnOs2
Method: DFT, PBE-GGA
State: optimized geometry

**E above lowest polymorph**: 0.475 eV/atom
**Crystal system**: orthorhombic
**SG**: Imma, No. 74
**DFT total energy**: -7.303 eV per atom
**Formation energy**: 0.608 eV/atom

a = 8.864 Å, b = 8.864 Å, c = 8.864 Å
α = 162.75°, β = 152.05°, γ = 33.03°
Fractional coordinates of all 6 atoms:
1 Zn 0.379 0.129 0.250
2 Zn 0.621 0.871 0.750
3 Os 0.064 0.314 0.750
4 Os 0.214 0.464 0.750
5 Os 0.786 0.536 0.250
6 Os 0.936 0.686 0.250



(2)
Material: Zn4Os
Method: DFT, PBE-GGA
State: optimized geometry

**E above lowest polymorph**: 0.684 eV/atom
**Crystal system**: cubic
**SG**: Pm-3m, No. 221
**DFT total energy**: -2.501 eV per atom
**Formation energy**: 0.764 eV/atom

a = 4.818 Å, b = 4.818 Å, c = 4.818 Å
α = 90.00°, β = 90.00°, γ = 90.00°
Fractional coordinates of all 5 atoms:
1 Zn 0.000 0.000 0.000
2 Zn 0.000 0.500 0.500
3 Zn 0.500 0.000 0.500
4 Zn 0.500 0.500 0.000
5 Os 0.500 0.500 0.500



(3)
Material: ZnOs4
Method: DFT, PBE-GGA
State: optimized geometry

**E above lowest polymorph**: 0.382 eV/atom
**Crystal system**: tetragonal
**SG**: I4/mmm, No. 139
**DFT total energy**: -8.552 eV per atom
**Formation energy**: 0.686 eV/atom

a = 6.412 Å, b = 6.412 Å, c = 6.412 Å
α = 145.51°, β = 145.51°, γ = 49.58°
Fractional coordinates of all 5 atoms:
1 Zn 0.000 0.000 0.000
2 Os 0.250 0.750 0.500
3 Os 0.397 0.397 0.000
4 Os 0.603 0.603 0.000
5 Os 0.750 0.250 0.500



Question: The lowest E above lowest polymorph belongs to which entry?
Answer: ZnOs4



Please write out number 1 again, unchanged.
Material: ZnOs2
Method: DFT, PBE-GGA
State: optimized geometry

**E above lowest polymorph**: 0.475 eV/atom
**Crystal system**: orthorhombic
**SG**: Imma, No. 74
**DFT total energy**: -7.303 eV per atom
**Formation energy**: 0.608 eV/atom

a = 8.864 Å, b = 8.864 Å, c = 8.864 Å
α = 162.75°, β = 152.05°, γ = 33.03°
Fractional coordinates of all 6 atoms:
1 Zn 0.379 0.129 0.250
2 Zn 0.621 0.871 0.750
3 Os 0.064 0.314 0.750
4 Os 0.214 0.464 0.750
5 Os 0.786 0.536 0.250
6 Os 0.936 0.686 0.250